A plane-wave DFT calculation with PBE was carried out for an optimized crystal structure of Ac2DyPt2.

Output
DFT total energy: -59.26 eV for the cell shown
D(E_F): 0.83 states/eV/atom
E_form: -0.946 eV/atom

a b c (Å): 7.793 7.793 7.793
angles (deg): 115.78 85.35 130.25
Sites, in units of the cell vectors:
Ac 0.153 0.139 0.293
Ac 0.347 0.639 0.986
Ac 0.653 0.361 0.014
Ac 0.847 0.861 0.707
Dy 0.250 0.750 0.500
Dy 0.750 0.250 0.500
Pt 0.100 0.756 0.856
Pt 0.400 0.256 0.656
Pt 0.600 0.744 0.344
Pt 0.900 0.244 0.144